Hf3VTe | PBE | optimized geometry

Computed properties:
* volume: 23.52 Å³ per atom
* energy above the most stable polymorph in this dataset: 0 meV/atom
* space group: Pm-3m
* electronic total energy: -7.857 eV per atom
* ΔE_f (raw): 2.84 eV per formula unit

a = 4.8992 Å, b = 4.8992 Å, c = 4.8992 Å
α = 90.00°, β = 90.00°, γ = 90.00°
With the nearest neighbours (Å) after each atom.
Atoms (fractional coordinates):
Hf 0.0000 0.0000 0.5000  2 V 2.45
Hf 0.0000 0.5000 0.0000  2 V 2.45
Hf 0.5000 0.0000 0.0000  2 V 2.45
V 0.0000 0.0000 0.0000  6 Hf 2.45
Te 0.5000 0.5000 0.5000  12 Hf 3.46


Hf2VTe | PBE | optimized geometry

Computed properties:
* volume: 22.06 Å³ per atom
* space group: I-42d
* electronic total energy: -7.669 eV per atom
* ΔE_f (raw): 1.49 eV per formula unit

a = 10.6544 Å, b = 10.6544 Å, c = 10.6544 Å
α = 157.54°, β = 157.54°, γ = 31.98°
With the nearest neighbours (Å) after each atom.
Atoms (fractional coordinates):
Hf 0.1242 0.6250 0.9992  4 Hf 2.93-2.94, 2 V 2.95, 2 Te 2.95
Hf 0.3750 0.3742 0.4992  4 Hf 2.93-2.94, 2 V 2.95, 2 Te 2.95
Hf 0.6258 0.1250 0.0008  4 Hf 2.93-2.94, 2 V 2.95, 2 Te 2.95
Hf 0.8750 0.8758 0.5008  4 Hf 2.93-2.94, 2 V 2.95, 2 Te 2.95
V 0.0000 0.0000 0.0000  4 Te 2.93, 4 Hf 2.95
V 0.7500 0.2500 0.5000  4 Te 2.93, 4 Hf 2.95
Te 0.2500 0.7500 0.5000  4 V 2.93, 4 Hf 2.95
Te 0.5000 0.5000 0.0000  4 V 2.93, 4 Hf 2.95


Hf3VTe | PBE | optimized geometry

Computed properties:
* volume: 27.76 Å³ per atom
* energy above the most stable polymorph in this dataset: 575 meV/atom
* space group: Pm-3m
* electronic total energy: -7.282 eV per atom
* ΔE_f (raw): 5.71 eV per formula unit

a = 5.1775 Å, b = 5.1775 Å, c = 5.1775 Å
α = 90.00°, β = 90.00°, γ = 90.00°
With the nearest neighbours (Å) after each atom.
Atoms (fractional coordinates):
Hf 0.0000 0.0000 0.5000  2 Te 2.59
Hf 0.0000 0.5000 0.0000  2 Te 2.59
Hf 0.5000 0.0000 0.0000  2 Te 2.59
V 0.5000 0.5000 0.5000  12 Hf 3.66
Te 0.0000 0.0000 0.0000  6 Hf 2.59